[1]
A geometry-optimized Si2HgRh2 structure, computed with PBE.

a b c (Å): 7.2817 7.2817 2.8667
angles (deg): 90.00 90.00 90.00
Last column: nearest neighbours and their distance in Å.
Positions (direct):
Rh 0.1445 0.3555 0.0000  6 Si 2.54-2.61, 2 Hg 2.79
Rh 0.3555 0.8555 0.0000  6 Si 2.54-2.61, 2 Hg 2.79
Si 0.8562 0.3562 0.5000  6 Rh 2.54-2.61
Si 0.1438 0.6438 0.5000  6 Rh 2.54-2.61
Rh 0.6445 0.1445 0.0000  6 Si 2.54-2.61, 2 Hg 2.79
Si 0.6438 0.8562 0.5000  6 Rh 2.54-2.61
Si 0.3562 0.1438 0.5000  6 Rh 2.54-2.61
Rh 0.8555 0.6445 0.0000  6 Si 2.54-2.61, 2 Hg 2.79
Hg 0.5000 0.5000 0.0000  4 Rh 2.79, 2 Hg 2.87
Hg 0.0000 0.0000 0.0000  4 Rh 2.79, 2 Hg 2.87

Output
The calculation puts the uncorrected formation energy at -0.33 eV per atom.

[2]
A geometry-optimized Si2HgRh2 structure, computed with PBE.

a b c (Å): 7.3555 7.3555 2.7938
angles (deg): 90.00 90.00 90.00
Last column: nearest neighbours and their distance in Å.
Positions (direct):
Si 0.3568 0.8568 0.0000  6 Rh 2.52-2.63, 2 Si 2.79
Si 0.8568 0.6432 0.0000  6 Rh 2.52-2.63, 2 Si 2.79
Hg 0.5000 0.5000 0.0000  2 Hg 2.79, 4 Si 2.83
Si 0.6432 0.1432 0.0000  6 Rh 2.52-2.63, 2 Si 2.79
Rh 0.1425 0.6425 0.5000  6 Si 2.52-2.63, 2 Rh 2.79
Rh 0.3575 0.1425 0.5000  6 Si 2.52-2.63, 2 Rh 2.79
Rh 0.8575 0.3575 0.5000  6 Si 2.52-2.63, 2 Rh 2.79
Rh 0.6425 0.8575 0.5000  6 Si 2.52-2.63, 2 Rh 2.79
Si 0.1432 0.3568 0.0000  6 Rh 2.52-2.63, 2 Si 2.79
Hg 0.0000 0.0000 0.0000  2 Hg 2.79, 4 Si 2.83

Output
The calculation puts the uncorrected formation energy at -0.30 eV per atom.

[3]
A geometry-optimized SiHgRh3 structure, computed with PBE.

a b c (Å): 4.8922 4.8922 4.8922
angles (deg): 90.00 90.00 90.00
Last column: nearest neighbours and their distance in Å.
Positions (direct):
Rh 0.0000 0.0000 0.5000  2 Hg 2.45
Hg 0.0000 0.0000 0.0000  6 Rh 2.45
Rh 0.0000 0.5000 0.0000  2 Hg 2.45
Rh 0.5000 0.0000 0.0000  2 Hg 2.45
Si 0.5000 0.5000 0.5000  12 Rh 3.46

Output
The calculation puts the uncorrected formation energy at 1.82 eV per atom.

| no. | energy relative to the lowest polymorph listed for this composition (meV/atom) |
| --- | --- |
| 1 | 156 |
| 2 | 189 |
| 3 | 1722 |